No. 1
Below is PdAuS4 after structural relaxation, with properties calculated at the PBE-GGA level.

Results
Its space-group type is C2/c, No. 15.

```
12
Lattice="-4.038 0.463 7.940 -5.729 -1.088 -4.458 6.055 -3.796 1.692" Properties=species:S:1:pos:R:3 pbc="T T T"
Pd -8.420 -0.817 1.673
Pd 4.708 -3.603 3.501
Au -1.638 -2.145 0.189
Au -2.074 -2.275 4.985
S -5.052 -0.064 6.534
S -2.403 -0.637 8.288
S -3.134 -3.563 1.327
S -0.577 -0.857 3.846
S 1.340 -4.356 -1.361
S -3.507 -0.155 2.688
S -0.205 -4.265 2.485
S -1.308 -3.783 -3.114
```

=====

No. 2
Below is Pd2AuS after structural relaxation, with properties calculated at the PBE-GGA level.

Results
Its energy above the most stable polymorph in this dataset is 213.3 meV per atom. Its space-group type is Fm-3m, No. 225.

```
4
Lattice="-1.026 -3.982 -1.840 -0.028 -3.718 2.545 -3.904 -2.009 1.010" Properties=species:S:1:pos:R:3 pbc="T T T"
S 0.000 0.000 0.000
Au -2.479 -4.855 0.857
Pd -1.240 -2.427 0.429
Pd -3.719 -7.282 1.286
```

=====

No. 3
Below is Pd2AuS after structural relaxation, with properties calculated at the PBE-GGA level.

Results
Its energy above the most stable polymorph in this dataset is 0.0 meV per atom. Its space-group type is R3m, No. 160.

```
4
Lattice="-0.793 0.611 -2.912 -2.964 -0.054 -0.832 -1.894 7.866 0.538" Properties=species:S:1:pos:R:3 pbc="T T T"
Pd -1.754 6.198 0.150
Pd -1.392 1.862 -0.858
Au -2.826 4.222 -1.601
S -4.397 8.220 -1.963
```

=====

No. 4
Below is Pd2Au2S after structural relaxation, with properties calculated at the PBE-GGA level.

Results
Its energy above the most stable polymorph in this dataset is 0.0 meV per atom. Its space-group type is P4/mbm, No. 127.

```
10
Lattice="6.320 0.000 0.000 0.000 6.320 0.000 0.000 0.000 4.407" Properties=species:S:1:pos:R:3 pbc="T T T"
S 0.000 0.000 0.000
S 3.160 3.160 0.000
Au 0.965 4.124 2.203
Au 4.124 5.355 2.203
Au 5.355 2.195 2.203
Au 2.195 0.965 2.203
Pd 2.124 5.283 0.000
Pd 5.283 4.196 0.000
Pd 4.196 1.036 0.000
Pd 1.036 2.124 0.000
```

=====

No. 5
Below is Pd8Au2S after structural relaxation, with properties calculated at the PBE-GGA level.

Results
Its space-group type is P-1, No. 2.

```
11
Lattice="4.893 -0.894 -0.508 -1.719 5.067 -1.528 0.605 -0.289 7.627" Properties=species:S:1:pos:R:3 pbc="T T T"
Pd 1.956 1.659 0.355
Pd 0.348 4.509 3.830
Pd 1.210 0.670 2.995
Pd -1.166 3.955 -0.780
Pd 2.569 3.214 2.596
Pd 3.431 -0.625 1.761
Pd 1.823 2.225 5.236
Pd 4.945 -0.071 6.371
Au -0.196 2.834 1.671
Au 3.975 1.050 3.920
S 2.447 -0.447 -0.254
```

=====

No. 6
Below is Pd2AuS after structural relaxation, with properties calculated at the PBE-GGA level.

Results
Its energy above the most stable polymorph in this dataset is 105.8 meV per atom. Its space-group type is I-42d, No. 122.

```
8
Lattice="-0.665 -6.582 -2.612 5.891 0.942 -3.872 4.098 -3.774 -1.216" Properties=species:S:1:pos:R:3 pbc="T T T"
S 2.613 -2.820 -3.242
S 6.301 -2.826 -4.165
Au 0.000 0.000 0.000
Au 3.023 -6.588 -3.535
Pd 1.379 -4.610 -2.290
Pd 4.590 -1.507 -3.181
Pd 5.328 -4.899 -3.537
Pd 7.352 -7.813 -6.392
```

=====

No. 7
Below is TlPdAuS2 after structural relaxation, with properties calculated at the PBE-GGA level.

Results
Its space-group type is Cmme, No. 67.

```
10
Lattice="6.023 0.000 0.000 0.000 6.108 0.000 0.000 -3.054 6.165" Properties=species:S:1:pos:R:3 pbc="T T T"
Tl 1.398 3.054 3.082
Tl 4.625 0.000 3.082
Pd 3.012 4.581 0.000
Pd 3.012 1.527 0.000
Au 0.000 0.000 0.000
Au 0.000 3.054 0.000
S 4.202 3.054 4.687
S 4.202 3.054 1.477
S 1.821 0.000 4.687
S 1.821 0.000 1.477
```

=====

No. 8
Below is U2Pd2AuS2 after structural relaxation, with properties calculated at the PBE-GGA level.

Results
Its space-group type is P-3m1, No. 164.

```
7
Lattice="-0.434 0.696 -3.639 1.928 -2.994 1.109 -13.001 -8.391 -0.053" Properties=species:S:1:pos:R:3 pbc="T T T"
U -3.362 -2.932 -2.071
U -8.145 -7.758 -0.511
Pd -2.224 -1.436 -0.009
Pd -10.777 -6.956 -0.044
Au 0.000 0.000 0.000
S -7.630 -5.687 -2.088
S -3.877 -5.003 -0.494
```

=====

No. 9
Below is YPdAu2S after structural relaxation, with properties calculated at the PBE-GGA level.

Results
Its space-group type is P4/mmm, No. 123.

```
5
Lattice="4.892 0.000 0.000 0.000 4.513 0.000 0.000 0.000 4.892" Properties=species:S:1:pos:R:3 pbc="T T T"
Y 2.446 2.257 2.446
S 0.000 0.000 0.000
Au 0.000 0.000 2.446
Au 2.446 0.000 0.000
Pd 0.000 2.257 0.000
```

=====

No. 10
Below is Zn2PdAuS after structural relaxation, with properties calculated at the PBE-GGA level.

Results
Its space-group type is P4/mmm, No. 123.

```
5
Lattice="4.780 0.000 0.000 0.000 5.151 0.000 0.000 0.000 4.780" Properties=species:S:1:pos:R:3 pbc="T T T"
Zn 0.000 0.000 2.390
Zn 2.390 0.000 0.000
Au 0.000 0.000 0.000
S 2.390 2.575 2.390
Pd 0.000 2.575 0.000
```

=====

No. 11
Below is Sb2PdAu after structural relaxation, with properties calculated at the PBE-GGA level.

Results
Its energy above the most stable polymorph in this dataset is 191.3 meV per atom. Its space-group type is I-42d, No. 122.

```
8
Lattice="-4.398 -4.699 -2.307 4.788 -4.828 0.707 -1.206 -5.533 3.440" Properties=species:S:1:pos:R:3 pbc="T T T"
Sb -2.395 -4.863 -0.464
Sb 2.085 -5.049 0.984
Sb -0.697 -7.785 1.989
Sb -0.625 -12.424 1.171
Au 0.000 0.000 0.000
Au -2.704 -7.498 0.167
Pd 0.195 -4.764 -0.800
Pd 1.888 -7.562 1.673
```

=====

No. 12
Below is SbPd2Au after structural relaxation, with properties calculated at the PBE-GGA level.

Results
Its space-group type is I-42d, No. 122.

```
8
Lattice="-3.801 5.975 -2.128 -6.342 -3.567 1.315 -5.058 2.151 2.228" Properties=species:S:1:pos:R:3 pbc="T T T"
Sb -5.072 1.204 -0.406
Sb -8.236 -0.106 1.568
Au 0.000 0.000 0.000
Au -6.966 4.665 -0.153
Pd -4.377 3.738 -0.577
Pd -5.760 -0.857 1.081
Pd -7.691 2.463 1.386
Pd -12.576 3.773 0.940
```

=====

No. 13
Below is Sb2Pd8Au after structural relaxation, with properties calculated at the PBE-GGA level.

Results
Its energy above the most stable polymorph in this dataset is 16.9 meV per atom. Its space-group type is P1, No. 1.

```
11
Lattice="4.426 -0.026 -1.281 -0.921 5.590 -2.378 -0.036 -0.011 7.661" Properties=species:S:1:pos:R:3 pbc="T T T"
Sb 2.831 3.385 -0.739
Sb 1.719 1.642 3.281
Pd 2.891 1.162 5.554
Pd 4.171 0.059 3.129
Pd 0.941 1.961 0.675
Pd 3.328 0.130 0.339
Pd 0.551 4.815 -0.195
Pd 3.619 2.649 1.699
Pd 0.485 2.617 5.570
Pd 1.441 4.209 2.471
Au -0.243 5.096 4.609
```

=====

In order of appearance, raw formation energy = -5, 175, -39, 64, -87, 67, -115, -256, -140, 589, 10, -134, -280 meV per atom.